1.
First-principles (PBE) data for a relaxed structure of PAuSe3, as listed in the Open Quantum Materials Database.

Geometry as POSCAR:
```
PAuSe3
1.0
-6.3579 0.1665 1.3012
1.4620 -1.6831 -6.0970
2.0010 -6.3622 3.7056
Au P Se
2 2 6
Direct
0.6838 0.3162 0.0000 Au
0.3162 0.6838 0.0000 Au
0.0215 0.0215 0.1566 P
0.9785 0.9785 0.8434 P
0.7126 0.7126 0.1959 Se
0.3568 0.0229 0.2675 Se
0.0229 0.3568 0.2675 Se
0.9771 0.6432 0.7325 Se
0.6432 0.9771 0.7325 Se
0.2874 0.2874 0.8041 Se
```

Computed properties:
- Calculated volume: 276 Å³ per cell
- VASP energy: -38.67 eV for the cell shown


2.
First-principles (PBE) data for a relaxed structure of TbTlIn, as listed in the Open Quantum Materials Database.

Geometry as POSCAR:
```
TbTlIn
1.0
2.3346 -7.2376 0.0000
2.3346 7.2376 0.0000
0.0000 0.0000 4.7135
In Tb Tl
2 2 2
Direct
0.6795 0.3205 0.5000 In
0.3205 0.6795 0.5000 In
0.8447 0.1553 0.0000 Tb
0.1553 0.8447 0.0000 Tb
0.5000 0.5000 0.0000 Tl
0.0000 0.0000 0.5000 Tl
```

Computed properties:
- Total magnetic moment: 0.0 μB/f.u.
- Calculated volume: 159 Å³ per cell
- VASP energy: -21.69 eV for the cell shown
- Energy above the lowest structure with this stoichiometry: 0.0 kJ per mole of atoms


3.
First-principles (PBE) data for a relaxed structure of NiIrPt2, as listed in the Open Quantum Materials Database.

Geometry as POSCAR:
```
NiIrPt2
1.0
0.0000 3.0767 3.0767
3.0767 0.0000 3.0767
3.0767 3.0767 0.0000
Ir Ni Pt
1 1 2
Direct
0.5000 0.5000 0.5000 Ir
0.7500 0.7500 0.7500 Ni
0.0000 0.0000 0.0000 Pt
0.2500 0.2500 0.2500 Pt
```

Computed properties:
- Total magnetic moment: 1.1 μB/f.u.
- Calculated volume: 58 Å³ per cell
- Formation enthalpy at 0 K: 230 meV per atom
- VASP energy: -25.61 eV for the cell shown


4.
First-principles (PBE) data for a relaxed structure of BaHfBi, as listed in the Open Quantum Materials Database.

Geometry as POSCAR:
```
BaHfBi
1.0
-0.6958 -4.7223 2.5530
-4.6041 -2.7727 -0.6449
-0.0033 -4.6237 -2.8148
Ba Bi Hf
1 1 1
Direct
0.2500 0.2500 0.2500 Ba
0.0000 0.0000 0.0000 Bi
0.7500 0.7500 0.7500 Hf
```

Computed properties:
- Total magnetic moment: 2.3 μB/f.u.
- Calculated volume: 112 Å³ per cell
- VASP energy: -14.78 eV for the cell shown
- Energy above the lowest structure with this stoichiometry: 0.0 kJ per mole of atoms


5.
First-principles (PBE) data for a relaxed structure of PmPrAs, as listed in the Open Quantum Materials Database.

Geometry as POSCAR:
```
PmPrAs
1.0
0.0000 3.5325 3.5325
3.5325 0.0000 3.5325
3.5325 3.5325 0.0000
As Pm Pr
1 1 1
Direct
0.0000 0.0000 0.0000 As
0.2500 0.2500 0.2500 Pm
0.7500 0.7500 0.7500 Pr
```

Computed properties:
- Total magnetic moment: 0.0 μB/f.u.
- Calculated volume: 88 Å³ per cell
- VASP energy: -16.68 eV for the cell shown


6.
First-principles (PBE) data for a relaxed structure of AlCu2Au, as listed in the Open Quantum Materials Database.

Geometry as POSCAR:
```
AlCu2Au
1.0
0.0897 -1.5114 4.0251
-1.5118 2.4002 3.2323
-3.6631 -1.1014 1.9654
Al Au Cu
1 1 2
Direct
0.5000 0.5000 0.5000 Al
0.2500 0.2500 0.2500 Au
0.0000 0.0000 0.0000 Cu
0.7500 0.7500 0.7500 Cu
```

Computed properties:
- Calculated volume: 56 Å³ per cell
- VASP energy: -15.29 eV for the cell shown


7.
First-principles (PBE) data for a relaxed structure of KZr4PbC2, as listed in the Open Quantum Materials Database.

Geometry as POSCAR:
```
KZr4PbC2
1.0
-1.8445 0.1227 2.8573
-1.5543 -0.0917 -3.0261
-0.1851 -16.9875 0.6098
C K Pb Zr
2 1 1 4
Direct
0.3333 0.6667 0.2777 C
0.3333 0.6667 0.7223 C
0.0000 0.0000 0.0000 K
0.6667 0.3333 0.5000 Pb
0.6667 0.3333 0.2065 Zr
0.0000 0.0000 0.3503 Zr
0.0000 0.0000 0.6497 Zr
0.6667 0.3333 0.7935 Zr
```

Computed properties:
- Total magnetic moment: 0.0 μB/f.u.
- Calculated volume: 171 Å³ per cell
- VASP energy: -60.53 eV for the cell shown


8.
First-principles (PBE) data for a relaxed structure of Tb2DyAs3, as listed in the Open Quantum Materials Database.

Geometry as POSCAR:
```
Tb2DyAs3
1.0
4.1275 0.0000 0.0000
-2.0638 3.5746 0.0000
0.0000 0.0000 10.1156
As Dy Tb
3 1 2
Direct
0.0000 0.0000 0.0000 As
0.3333 0.6667 0.3340 As
0.6667 0.3333 0.6660 As
0.0000 0.0000 0.5000 Dy
0.6667 0.3333 0.1669 Tb
0.3333 0.6667 0.8331 Tb
```

Computed properties:
- Total magnetic moment: 0.0 μB/f.u.
- Calculated volume: 149 Å³ per cell
- VASP energy: -37.05 eV for the cell shown


9.
First-principles (PBE) data for a relaxed structure of LaUSe2F2, as listed in the Open Quantum Materials Database.

Geometry as POSCAR:
```
LaUSe2F2
1.0
4.0339 0.0000 0.0000
0.0000 4.0339 0.0000
0.0000 0.0000 7.2093
F La Se U
2 1 2 1
Direct
0.5000 0.0000 0.9995 F
0.0000 0.5000 0.9995 F
0.0000 0.0000 0.2194 La
0.5000 0.5000 0.3605 Se
0.0000 0.0000 0.6517 Se
0.5000 0.5000 0.7695 U
```

Computed properties:
- Total magnetic moment: 2.8 μB/f.u.
- Calculated volume: 117 Å³ per cell
- VASP energy: -42.25 eV for the cell shown


10.
First-principles (PBE) data for a relaxed structure of Gd6SiNi2, as listed in the Open Quantum Materials Database.

Geometry as POSCAR:
```
Gd6SiNi2
1.0
7.6059 0.0000 0.0000
-3.8029 6.5869 0.0000
0.0000 0.0000 4.3646
Gd Ni Si
6 2 1
Direct
0.2751 0.0000 0.0000 Gd
0.0000 0.2751 0.0000 Gd
0.7249 0.7249 0.0000 Gd
0.6047 0.0000 0.5000 Gd
0.3953 0.3953 0.5000 Gd
0.0000 0.6047 0.5000 Gd
0.6667 0.3333 0.0000 Ni
0.3333 0.6667 0.0000 Ni
0.0000 0.0000 0.5000 Si
```

Computed properties:
- Total magnetic moment: 0.0 μB/f.u.
- Calculated volume: 219 Å³ per cell
- VASP energy: -46.92 eV for the cell shown


11.
First-principles (PBE) data for a relaxed structure of Al2Cu5Ni, as listed in the Open Quantum Materials Database.

Geometry as POSCAR:
```
Al2Cu5Ni
1.0
-1.3812 3.3618 1.8663
-3.5738 -0.3907 -1.9411
-2.0140 -3.2491 4.3621
Al Cu Ni
2 5 1
Direct
0.0000 0.0000 0.0000 Al
0.5000 0.5000 0.5000 Al
0.5000 0.0000 0.2492 Cu
0.0000 0.5000 0.2492 Cu
0.0000 0.0000 0.5000 Cu
0.5000 0.0000 0.7508 Cu
0.0000 0.5000 0.7508 Cu
0.5000 0.5000 0.0000 Ni
```

Computed properties:
- Total magnetic moment: 0.0 μB/f.u.
- Calculated volume: 97 Å³ per cell
- VASP energy: -33.18 eV for the cell shown


12.
First-principles (PBE) data for a relaxed structure of TePdPbO, as listed in the Open Quantum Materials Database.

Geometry as POSCAR:
```
TePdPbO
1.0
-3.4830 2.1553 1.4939
-1.5140 0.3753 -4.0713
-4.4104 -7.7679 0.9240
O Pb Pd Te
2 2 2 2
Direct
0.7500 0.7500 0.4749 O
0.2500 0.2500 0.5251 O
0.7500 0.2500 0.0000 Pb
0.2500 0.7500 0.0000 Pb
0.7500 0.7500 0.2392 Pd
0.2500 0.2500 0.7608 Pd
0.2500 0.2500 0.3160 Te
0.7500 0.7500 0.6840 Te
```

Computed properties:
- Calculated volume: 171 Å³ per cell
- VASP energy: -34.81 eV for the cell shown
- Energy above the lowest structure with this stoichiometry: 48.1 kJ per mole of atoms